1.
Compound: ReNi2Ag
Source: Alexandria
Functional: PBE-GGA
Structure: relaxed

Summary:
excess energy over the best structure of this formula in the dataset = 0.466 eV/f.u.
space-group type = No. 47
volume = 13.72 Å³ per atom
formation energy from the elements = 0.22 eV per atom
density of states at the Fermi level = 0.866 states/eV per atom
total magnetic moment = 0.00 μB per atom
ρ = 12454 kg/m³
crystal system = orthorhombic

Cell lengths 2.664, 3.622, 5.687 Å; angles 90.00, 90.00, 90.00 degrees
Atoms (fractional coordinates):
Ag  0.500  0.500  0.750
Ni  0.000  0.000  0.034
Ni  0.000  0.000  0.466
Re  0.500  0.500  0.250

***

2.
Compound: ReNiAg2
Source: Alexandria
Functional: PBE-GGA
Structure: relaxed

Summary:
excess energy over the best structure of this formula in the dataset = 2.760 eV/f.u.
space-group type = No. 225
volume = 15.42 Å³ per atom
formation energy from the elements = 0.95 eV per atom
density of states at the Fermi level = 1.581 states/eV per atom
total magnetic moment = 0.28 μB per atom
ρ = 12399 kg/m³
crystal system = cubic

Cell lengths 4.435, 4.435, 4.435 Å; angles 60.00, 60.00, 60.00 degrees
Site moments in Bohr magnetons follow the coordinates.
Atoms (fractional coordinates):
Re  0.500  0.500  0.500  0.83
Ag  0.250  0.250  0.250  0.04
Ag  0.750  0.750  0.750  0.04
Ni  0.000  0.000  0.000  0.16

***

3.
Compound: Re2NiAg
Source: Alexandria
Functional: PBE-GGA
Structure: relaxed

Summary:
excess energy over the best structure of this formula in the dataset = 0.940 eV/f.u.
space-group type = No. 65
volume = 14.56 Å³ per atom
formation energy from the elements = 0.54 eV per atom
density of states at the Fermi level = 0.869 states/eV per atom
total magnetic moment = 0.00 μB per atom
ρ = 15370 kg/m³
crystal system = orthorhombic

Cell lengths 4.958, 4.958, 2.638 Å; angles 90.00, 90.00, 116.11 degrees
Atoms (fractional coordinates):
Ag  0.500  0.000  0.500
Ni  0.000  0.500  0.500
Re  0.000  0.000  0.000
Re  0.500  0.500  0.000

***

4.
Compound: ReNi2Ag
Source: Alexandria
Functional: PBE-GGA
Structure: relaxed

Summary:
excess energy over the best structure of this formula in the dataset = 1.729 eV/f.u.
space-group type = No. 71
volume = 14.02 Å³ per atom
formation energy from the elements = 0.54 eV per atom
density of states at the Fermi level = 1.051 states/eV per atom
total magnetic moment = 0.00 μB per atom
ρ = 12186 kg/m³
crystal system = orthorhombic

Cell lengths 5.145, 5.145, 5.145 Å; angles 149.27, 125.51, 63.87 degrees
Atoms (fractional coordinates):
Ag  0.750  0.250  0.500
Ni  0.012  0.012  0.000
Ni  0.488  0.488  0.000
Re  0.250  0.750  0.500

***

5.
Compound: ReNiAg2
Source: Alexandria
Functional: PBE-GGA
Structure: relaxed

Summary:
excess energy over the best structure of this formula in the dataset = 0.234 eV/f.u.
space-group type = No. 160
volume = 15.45 Å³ per atom
formation energy from the elements = 0.31 eV per atom
density of states at the Fermi level = 1.397 states/eV per atom
total magnetic moment = 0.14 μB per atom
ρ = 12380 kg/m³
crystal system = trigonal

Cell lengths 9.320, 9.320, 9.320 Å; angles 17.20, 17.20, 17.20 degrees
Site moments in Bohr magnetons follow the coordinates.
Atoms (fractional coordinates):
Ag  0.002  0.002  0.002  0.01
Ag  0.244  0.244  0.244  0.01
Ni  0.496  0.496  0.496  0.26
Re  0.758  0.758  0.758  0.24

***

6.
Compound: ReNi2Ag
Source: Alexandria
Functional: PBE-GGA
Structure: relaxed

Summary:
excess energy over the best structure of this formula in the dataset = 0.708 eV/f.u.
space-group type = No. 99
volume = 13.56 Å³ per atom
formation energy from the elements = 0.28 eV per atom
density of states at the Fermi level = 0.865 states/eV per atom
total magnetic moment = 0.07 μB per atom
ρ = 12597 kg/m³
crystal system = tetragonal

Cell lengths 2.660, 2.660, 7.668 Å; angles 90.00, 90.00, 90.02 degrees
Site moments in Bohr magnetons follow the coordinates.
Atoms (fractional coordinates):
Ag  0.500  0.500  0.766  0.00
Ni  0.000  0.000  0.026  0.25
Ni  0.500  0.500  0.240  0.03
Re  0.000  0.000  0.468  0.01

***

7.
Compound: Re2NiAg
Source: Alexandria
Functional: PBE-GGA
Structure: relaxed

Summary:
excess energy over the best structure of this formula in the dataset = 0.166 eV/f.u.
space-group type = No. 35
volume = 14.93 Å³ per atom
formation energy from the elements = 0.35 eV per atom
density of states at the Fermi level = 0.904 states/eV per atom
total magnetic moment = 0.00 μB per atom
ρ = 14983 kg/m³
crystal system = orthorhombic

Cell lengths 2.677, 2.677, 8.978 Å; angles 90.00, 90.00, 111.76 degrees
Atoms (fractional coordinates):
Ag  0.000  0.000  0.515
Ni  0.500  0.500  0.764
Re  0.000  0.000  0.988
Re  0.500  0.500  0.233

***

8.
Compound: Re2NiAg
Source: Alexandria
Functional: PBE-GGA
Structure: relaxed

Summary:
excess energy over the best structure of this formula in the dataset = 0.452 eV/f.u.
space-group type = No. 8
volume = 14.68 Å³ per atom
formation energy from the elements = 0.42 eV per atom
density of states at the Fermi level = 0.793 states/eV per atom
total magnetic moment = 0.00 μB per atom
ρ = 15244 kg/m³
crystal system = monoclinic

Cell lengths 4.750, 4.750, 4.943 Å; angles 82.06, 82.06, 32.14 degrees
Atoms (fractional coordinates):
Ag  0.505  0.505  0.480
Ni  0.259  0.259  0.253
Re  0.987  0.987  0.992
Re  0.748  0.748  0.775

***

9.
Compound: ReNiAg2
Source: Alexandria
Functional: PBE-GGA
Structure: relaxed

Summary:
excess energy over the best structure of this formula in the dataset = 1.009 eV/f.u.
space-group type = No. 8
volume = 15.41 Å³ per atom
formation energy from the elements = 0.51 eV per atom
density of states at the Fermi level = 0.745 states/eV per atom
total magnetic moment = 0.00 μB per atom
ρ = 12411 kg/m³
crystal system = monoclinic

Cell lengths 4.677, 4.677, 5.185 Å; angles 82.45, 82.45, 33.26 degrees
Atoms (fractional coordinates):
Ag  0.001  0.001  0.001
Ag  0.244  0.244  0.244
Ni  0.497  0.497  0.542
Re  0.757  0.757  0.713

***

10.
Compound: ReNiAg2
Source: Alexandria
Functional: PBE-GGA
Structure: relaxed

Summary:
excess energy over the best structure of this formula in the dataset = 1.146 eV/f.u.
space-group type = No. 65
volume = 15.54 Å³ per atom
formation energy from the elements = 0.54 eV per atom
density of states at the Fermi level = 0.887 states/eV per atom
total magnetic moment = 0.11 μB per atom
ρ = 12307 kg/m³
crystal system = orthorhombic

Cell lengths 2.708, 2.708, 9.556 Å; angles 90.00, 90.00, 117.51 degrees
Site moments in Bohr magnetons follow the coordinates.
Atoms (fractional coordinates):
Ag  0.000  0.000  0.014  0.00
Ag  0.000  0.000  0.486  0.00
Ni  0.500  0.500  0.250  0.43
Re  0.500  0.500  0.750  0.03

***

11.
Compound: Re2NiAg
Source: Alexandria
Functional: PBE-GGA
Structure: relaxed

Summary:
excess energy over the best structure of this formula in the dataset = 2.244 eV/f.u.
space-group type = No. 122
volume = 15.89 Å³ per atom
formation energy from the elements = 0.87 eV per atom
density of states at the Fermi level = 0.941 states/eV per atom
total magnetic moment = 0.00 μB per atom
ρ = 14078 kg/m³
crystal system = tetragonal

Cell lengths 3.663, 3.663, 9.825 Å; angles 79.26, 79.26, 90.00 degrees
Atoms (fractional coordinates):
Re  0.599  0.125  0.250
Re  0.151  0.625  0.250
Re  0.375  0.401  0.750
Re  0.875  0.849  0.750
Ag  0.000  0.000  0.000
Ag  0.750  0.250  0.500
Ni  0.500  0.500  0.000
Ni  0.250  0.750  0.500

***

12.
Compound: Re2NiAg
Source: Alexandria
Functional: PBE-GGA
Structure: relaxed

Summary:
excess energy over the best structure of this formula in the dataset = 0.389 eV/f.u.
space-group type = No. 123
volume = 14.50 Å³ per atom
formation energy from the elements = 0.40 eV per atom
density of states at the Fermi level = 0.420 states/eV per atom
total magnetic moment = 0.00 μB per atom
ρ = 15433 kg/m³
crystal system = tetragonal

Cell lengths 2.635, 2.635, 8.353 Å; angles 90.00, 90.00, 90.00 degrees
Atoms (fractional coordinates):
Ag  0.500  0.500  0.250
Ni  0.500  0.500  0.750
Re  0.000  0.000  0.975
Re  0.000  0.000  0.525